1.
Material: TaBiI
Method: DFT, PBE
State: relaxed

The structure in POSCAR format:
```
TaBiI
1.0
5.624 -1.768 0.000
5.624 1.768 0.000
-3.357 0.000 9.601
Ta Bi I
2 2 2
Cartesian
2.047 0.000 0.796
5.845 0.000 8.805
4.953 0.000 1.404
2.938 0.000 8.197
-0.127 0.000 6.464
8.018 0.000 3.137
```

Summary:
Electronic total energy: -5.6973 eV per atom
M_tot: 0.000 μB per formula unit
E_form (uncorrected): 0.06 eV per atom



2.
Material: TaBiI
Method: DFT, PBE
State: relaxed

The structure in POSCAR format:
```
TaBiI
1.0
6.715 0.000 0.000
0.000 3.410 0.000
-0.794 0.000 7.938
Ta Bi I
2 2 2
Cartesian
1.198 0.853 0.021
4.723 2.558 7.918
0.477 2.558 2.414
5.444 0.853 5.524
2.108 2.558 6.394
3.813 0.853 1.545
```

Summary:
Electronic total energy: -5.6753 eV per atom
M_tot: 0.000 μB per formula unit
E_form (uncorrected): 0.09 eV per atom



3.
Material: Ta2BiI
Method: DFT, PBE
State: relaxed

The structure in POSCAR format:
```
Ta2BiI
1.0
0.000 3.485 3.485
3.485 0.000 3.485
3.485 3.485 0.000
Ta Bi I
2 1 1
Cartesian
1.743 1.743 1.743
5.228 5.228 5.228
0.000 0.000 0.000
3.485 3.485 3.485
```

Summary:
Electronic total energy: -6.4702 eV per atom
M_tot: 0.000 μB per formula unit
E_form (uncorrected): 0.81 eV per atom



4.
Material: TaBiI
Method: DFT, PBE
State: relaxed

The structure in POSCAR format:
```
TaBiI
1.0
8.592 -1.689 0.000
8.592 1.689 0.000
-2.635 0.000 6.214
Ta Bi I
2 2 2
Cartesian
3.755 0.000 1.087
10.794 0.000 5.127
6.706 0.000 0.554
7.843 0.000 5.661
1.377 0.000 2.962
13.172 0.000 3.252
```

Summary:
Electronic total energy: -5.6800 eV per atom
M_tot: 0.000 μB per formula unit
E_form (uncorrected): 0.08 eV per atom



5.
Material: TaBiI
Method: DFT, PBE
State: relaxed

The structure in POSCAR format:
```
TaBiI
1.0
3.482 0.000 0.000
-1.646 8.213 0.000
-0.349 -3.991 7.745
Ta Bi I
2 2 2
Cartesian
0.000 0.000 0.000
-0.275 4.190 5.619
-0.290 -1.620 5.272
1.654 2.409 0.316
0.087 6.490 1.440
1.476 2.426 4.229
```

Summary:
Electronic total energy: -5.6232 eV per atom
M_tot: 0.000 μB per formula unit
E_form (uncorrected): 0.14 eV per atom



6.
Material: Ta2BiI
Method: DFT, PBE
State: relaxed

The structure in POSCAR format:
```
Ta2BiI
1.0
-2.276 2.276 9.563
2.276 -2.276 9.563
2.276 2.276 -9.563
Ta Bi I
4 2 2
Cartesian
3.414 0.996 -2.391
0.996 1.138 2.391
-1.138 1.280 7.172
1.280 1.138 11.954
2.276 0.000 4.782
0.000 0.000 9.563
0.000 0.000 0.000
0.000 2.276 4.782
```

Summary:
Electronic total energy: -6.1509 eV per atom
M_tot: 0.000 μB per formula unit
E_form (uncorrected): 1.13 eV per atom



7.
Material: TaBiI
Method: DFT, PBE
State: relaxed

The structure in POSCAR format:
```
TaBiI
1.0
3.439 0.000 0.000
0.018 7.259 0.000
0.053 0.846 8.456
Ta Bi I
2 2 2
Cartesian
0.000 0.000 0.000
1.738 6.267 1.953
1.713 1.871 1.730
1.786 5.551 8.029
1.774 1.770 6.330
3.457 5.372 4.000
```

Summary:
Electronic total energy: -5.6092 eV per atom
M_tot: 0.000 μB per formula unit
E_form (uncorrected): 0.15 eV per atom



8.
Material: TaBi4I2
Method: DFT, PBE
State: relaxed

The structure in POSCAR format:
```
TaBi4I2
1.0
-2.666 2.666 10.342
2.666 -2.666 10.342
2.666 2.666 -10.342
Ta Bi I
1 4 2
Cartesian
0.000 0.000 0.000
2.666 0.000 0.000
0.000 0.000 2.803
0.000 2.666 0.000
0.000 0.000 17.881
0.000 0.000 7.080
0.000 0.000 13.604
```

Summary:
Electronic total energy: -4.0621 eV per atom
M_tot: 0.000 μB per formula unit
E_form (uncorrected): 0.29 eV per atom



9.
Material: TaBiI3
Method: DFT, PBE
State: relaxed

The structure in POSCAR format:
```
TaBiI3
1.0
5.542 0.000 0.000
0.000 5.542 0.000
0.000 0.000 5.542
Ta Bi I
1 1 3
Cartesian
0.000 0.000 0.000
2.771 2.771 2.771
0.000 0.000 2.771
0.000 2.771 0.000
2.771 0.000 0.000
```

Summary:
Electronic total energy: -3.5606 eV per atom
M_tot: 1.954 μB per formula unit
E_form (uncorrected): 0.52 eV per atom



10.
Material: TaBiI
Method: DFT, PBE
State: relaxed

The structure in POSCAR format:
```
TaBiI
1.0
5.823 0.000 0.000
0.000 3.676 0.000
-1.538 0.000 8.866
Ta Bi I
2 2 2
Cartesian
0.695 0.919 0.851
3.590 2.757 8.015
0.604 2.757 7.706
3.681 0.919 1.160
0.684 2.757 3.088
3.602 0.919 5.778
```

Summary:
Electronic total energy: -5.7391 eV per atom
M_tot: 0.000 μB per formula unit
E_form (uncorrected): 0.02 eV per atom



11.
Material: TaBiI
Method: DFT, PBE
State: relaxed

The structure in POSCAR format:
```
TaBiI
1.0
3.522 0.000 0.000
-0.013 5.906 0.000
-1.747 -2.175 9.433
Ta Bi I
2 2 2
Cartesian
0.000 0.000 0.000
0.000 2.295 7.825
0.012 -0.748 7.334
1.774 2.638 0.686
-0.006 5.281 2.676
1.762 2.306 5.546
```

Summary:
Electronic total energy: -5.6410 eV per atom
M_tot: 0.000 μB per formula unit
E_form (uncorrected): 0.12 eV per atom



12.
Material: TaBiI
Method: DFT, PBE
State: relaxed

The structure in POSCAR format:
```
TaBiI
1.0
3.516 0.000 0.000
0.000 7.161 0.000
-0.055 -1.642 8.398
Ta Bi I
2 2 2
Cartesian
0.000 0.000 0.000
1.703 3.644 7.387
1.703 -0.930 5.956
1.759 2.480 0.084
1.758 5.925 1.871
3.462 2.903 5.262
```

Summary:
Electronic total energy: -5.6452 eV per atom
M_tot: 0.000 μB per formula unit
E_form (uncorrected): 0.12 eV per atom